An optimized crystal structure of LaRhAu2, computed with GGA-PBE.

Its crystal system is orthorhombic. The theoretical density comes out at 12.2 g cm⁻³. The total DFT energy (no corrections) comes out at -41.75 eV for the cell shown.

The structure belongs to space group Amm2 (No. 38); the cell edges are 3.953, 3.950 and 11.065 Å and the angles 90.00°, 90.00° and 90.00°. The inequivalent atoms are La at (0.000, 0.000, 0.000), Rh at (0.500, 0.000, 0.556), Au at (0.000, 0.000, 0.728) and Au at (0.500, 0.000, 0.301).

---

An optimized crystal structure of LaRhAu2, computed with GGA-PBE.

Its crystal system is tetragonal. The theoretical density comes out at 12.2 g cm⁻³. The total DFT energy (no corrections) comes out at -81.76 eV for the cell shown.

The structure belongs to space group I-42d (No. 122); the cell edges are 4.035, 4.035 and 21.225 Å and the angles 90.00°, 90.00° and 90.00°. The inequivalent atoms are La at (0.000, 0.000, 0.000), Rh at (0.000, 0.000, 0.500) and Au at (0.231, 0.250, 0.625).